# 1
A relaxed CdGa2Ag crystal, computed with PBE-GGA.

Cell and atoms, written as CIF:
```
data_CdGa2Ag
_space_group_name_H-M_alt 'P 4/m m m'
_space_group_IT_number 123
_space_group_name_Hall '-P 4 2'
_cell_length_a 4.280
_cell_length_b 4.280
_cell_length_c 4.218
_cell_angle_alpha 90.00
_cell_angle_beta 90.00
_cell_angle_gamma 90.00
loop_
_atom_site_label
_atom_site_type_symbol
_atom_site_fract_x
_atom_site_fract_y
_atom_site_fract_z
_atom_site_occupancy
Cd1 Cd 0.000 0.000 0.000 1
Ga1 Ga 0.000 0.500 0.500 1
Ag1 Ag 0.500 0.500 0.000 1
```

Calculated formation energy (meV/atom): 56.1
DFT total energy (eV per atom): -2.399

# 2
A relaxed FeMo2P crystal, computed with PBE-GGA.

Cell and atoms, written as CIF:
```
data_FeMo2P
_space_group_name_H-M_alt 'R 3 m'
_space_group_IT_number 160
_space_group_name_Hall 'R 3 -2"'
_cell_length_a 2.8091
_cell_length_b 2.8091
_cell_length_c 24.3958
_cell_angle_alpha 90.00
_cell_angle_beta 90.00
_cell_angle_gamma 120.00
loop_
_atom_site_label
_atom_site_type_symbol
_atom_site_fract_x
_atom_site_fract_y
_atom_site_fract_z
_atom_site_occupancy
Fe1 Fe 0.0000 0.0000 0.0000 1
Mo1 Mo 0.0000 0.0000 0.2461 1
Mo2 Mo 0.0000 0.0000 0.4822 1
P1 P 0.0000 0.0000 0.7348 1
```

Calculated formation energy (meV/atom): 130.3
DFT total energy (eV per atom): -8.753

# 3
A relaxed Er4CuAgAu2 crystal, computed with PBE-GGA.

Cell and atoms, written as CIF:
```
data_Er4CuAgAu2
_space_group_name_H-M_alt 'R -3 m'
_space_group_IT_number 166
_space_group_name_Hall '-R 3 2"'
_cell_length_a 5.0165
_cell_length_b 5.0165
_cell_length_c 24.6449
_cell_angle_alpha 90.00
_cell_angle_beta 90.00
_cell_angle_gamma 120.00
loop_
_atom_site_label
_atom_site_type_symbol
_atom_site_fract_x
_atom_site_fract_y
_atom_site_fract_z
_atom_site_occupancy
Er1 Er 0.0000 0.0000 0.1222 1
Er2 Er 0.0000 0.0000 0.3724 1
Cu1 Cu 0.0000 0.0000 0.0000 1
Ag1 Ag 0.0000 0.0000 0.5000 1
Au1 Au 0.0000 0.0000 0.2487 1
```

Calculated formation energy (meV/atom): -593.6
DFT total energy (eV per atom): -4.563

# 4
A relaxed NdY3Rh crystal, computed with PBE-GGA.

Cell and atoms, written as CIF:
```
data_NdY3Rh
_space_group_name_H-M_alt 'P m -3 m'
_space_group_IT_number 221
_space_group_name_Hall '-P 4 2 3'
_cell_length_a 5.445
_cell_length_b 5.445
_cell_length_c 5.445
_cell_angle_alpha 90.00
_cell_angle_beta 90.00
_cell_angle_gamma 90.00
loop_
_atom_site_label
_atom_site_type_symbol
_atom_site_fract_x
_atom_site_fract_y
_atom_site_fract_z
_atom_site_occupancy
Nd1 Nd 0.000 0.000 0.000 1
Y1 Y 0.000 0.500 0.500 1
Rh1 Rh 0.500 0.500 0.500 1
```

Calculated formation energy (meV/atom): -251.2
DFT total energy (eV per atom): -6.553

# 5
A relaxed TiNbGaW crystal, computed with PBE-GGA.

Cell and atoms, written as CIF:
```
data_TiNbGaW
_space_group_name_H-M_alt 'F -4 3 m'
_space_group_IT_number 216
_space_group_name_Hall 'F -4 2 3'
_cell_length_a 6.413
_cell_length_b 6.413
_cell_length_c 6.413
_cell_angle_alpha 90.00
_cell_angle_beta 90.00
_cell_angle_gamma 90.00
loop_
_atom_site_label
_atom_site_type_symbol
_atom_site_fract_x
_atom_site_fract_y
_atom_site_fract_z
_atom_site_occupancy
Ti1 Ti 0.000 0.000 0.000 1
Nb1 Nb 0.000 0.000 0.500 1
Ga1 Ga 0.250 0.250 0.750 1
W1 W 0.250 0.250 0.250 1
```

Calculated formation energy (meV/atom): -163.9
DFT total energy (eV per atom): -8.650

# 6
A relaxed CsCu3Os crystal, computed with PBE-GGA.

Cell and atoms, written as CIF:
```
data_CsCu3Os
_space_group_name_H-M_alt 'P m -3 m'
_space_group_IT_number 221
_space_group_name_Hall '-P 4 2 3'
_cell_length_a 4.930
_cell_length_b 4.930
_cell_length_c 4.930
_cell_angle_alpha 90.00
_cell_angle_beta 90.00
_cell_angle_gamma 90.00
loop_
_atom_site_label
_atom_site_type_symbol
_atom_site_fract_x
_atom_site_fract_y
_atom_site_fract_z
_atom_site_occupancy
Cs1 Cs 0.000 0.000 0.000 1
Cu1 Cu 0.000 0.500 0.500 1
Os1 Os 0.500 0.500 0.500 1
```

Calculated formation energy (meV/atom): 1041.9
DFT total energy (eV per atom): -3.832

# 7
A relaxed La6ErTl5 crystal, computed with PBE-GGA.

Cell and atoms, written as CIF:
```
data_La6ErTl5
_space_group_name_H-M_alt 'I m m m'
_space_group_IT_number 71
_space_group_name_Hall '-I 2 2'
_cell_length_a 5.177
_cell_length_b 9.304
_cell_length_c 15.717
_cell_angle_alpha 90.00
_cell_angle_beta 90.00
_cell_angle_gamma 90.00
loop_
_atom_site_label
_atom_site_type_symbol
_atom_site_fract_x
_atom_site_fract_y
_atom_site_fract_z
_atom_site_occupancy
La1 La 0.000 0.237 0.000 1
La2 La 0.000 0.259 0.327 1
Er1 Er 0.000 0.000 0.500 1
Tl1 Tl 0.000 0.000 0.170 1
Tl2 Tl 0.000 0.500 0.150 1
Tl3 Tl 0.000 0.500 0.500 1
```

Calculated formation energy (meV/atom): -329.3
DFT total energy (eV per atom): -4.159

# 8
A relaxed KSnP3 crystal, computed with PBE-GGA.

Cell and atoms, written as CIF:
```
data_KSnP3
_space_group_name_H-M_alt 'P m -3 m'
_space_group_IT_number 221
_space_group_name_Hall '-P 4 2 3'
_cell_length_a 5.189
_cell_length_b 5.189
_cell_length_c 5.189
_cell_angle_alpha 90.00
_cell_angle_beta 90.00
_cell_angle_gamma 90.00
loop_
_atom_site_label
_atom_site_type_symbol
_atom_site_fract_x
_atom_site_fract_y
_atom_site_fract_z
_atom_site_occupancy
K1 K 0.000 0.000 0.000 1
Sn1 Sn 0.500 0.500 0.500 1
P1 P 0.000 0.500 0.500 1
```

Calculated formation energy (meV/atom): 659.9
DFT total energy (eV per atom): -3.606

Spin magnetization readings, ordered: 0.0 4.9 0.0 0.0 0.0 2.2 0.0 0.0 Bohr magnetons per cell